## AcMoClO4 (PBE with a Hubbard U)

Data for a geometry-optimized AcMoClO4 structure.

## Properties
**Total magnetic moment**: 0.000 μB/atom
**Raw total energy**: -7.040 eV/atom
**Space-group type**: No. 12

a b c (Å): 6.723 6.723 7.316
angles (deg): 102.83 102.83 71.54
Fractional coordinates of all 14 atoms:
Ac1 0.224 0.224 0.127
Ac2 0.776 0.776 0.873
Mo1 0.363 0.363 0.737
Mo2 0.637 0.637 0.263
Cl1 0.018 0.018 0.767
Cl2 0.982 0.982 0.233
O1 0.130 0.488 0.851
O2 0.293 0.293 0.487
O3 0.468 0.468 0.214
O4 0.488 0.130 0.851
O5 0.512 0.870 0.149
O6 0.532 0.532 0.786
O7 0.707 0.707 0.513
O8 0.870 0.512 0.149